Entry 1:
! Nd4ErSe6, optimized geometry, DFT PBE; values from VASP
&SYSTEM
  ibrav = 0, nat = 22, ntyp = 3
/
ATOMIC_SPECIES
Nd 144.24 Nd.upf
Er 167.26 Er.upf
Se 78.96 Se.upf
CELL_PARAMETERS angstrom
5.9365 3.4275 4.7145
-5.9365 3.4275 4.7145
0.0000 -6.8549 4.7145
ATOMIC_POSITIONS crystal
Nd 0.1352 0.7500 0.3648
Nd 0.2500 0.2500 0.2500
Nd 0.2500 0.6352 0.8648
Nd 0.3648 0.1352 0.7500
Nd 0.6352 0.8648 0.2500
Nd 0.7500 0.3648 0.1352
Nd 0.7500 0.7500 0.7500
Nd 0.8648 0.2500 0.6352
Er 0.0000 0.0000 0.0000
Er 0.5000 0.5000 0.5000
Se 0.0605 0.9169 0.6826
Se 0.0831 0.3174 0.9395
Se 0.1826 0.4169 0.5605
Se 0.3174 0.9395 0.0831
Se 0.4169 0.5605 0.1826
Se 0.4395 0.8174 0.5831
Se 0.5605 0.1826 0.4169
Se 0.5831 0.4395 0.8174
Se 0.6826 0.0605 0.9169
Se 0.8174 0.5831 0.4395
Se 0.9169 0.6826 0.0605
Se 0.9395 0.0831 0.3174
! DOS(E_F) (states/eV/f.u.): 5.199
! ΔE_f (raw) (eV per atom): -1.74
! Raw total energy (eV/atom): -5.7887
! Total magnetic moment (μB per atom): 0.000

---

Entry 2:
! TaBeHg3, optimized geometry, DFT PBE; values from VASP
&SYSTEM
  ibrav = 0, nat = 5, ntyp = 3
/
ATOMIC_SPECIES
Ta 180.95 Ta.upf
Be 9.01 Be.upf
Hg 200.59 Hg.upf
CELL_PARAMETERS angstrom
4.6164 0.0000 0.0000
0.0000 4.6164 0.0000
0.0000 0.0000 4.6164
ATOMIC_POSITIONS crystal
Ta 0.0000 0.0000 0.0000
Be 0.5000 0.5000 0.5000
Hg 0.0000 0.5000 0.5000
Hg 0.5000 0.0000 0.5000
Hg 0.5000 0.5000 0.0000
! DOS(E_F) (states/eV/f.u.): 2.515
! Raw total energy (eV/atom): -2.3717
! Total magnetic moment (μB per atom): 0.000
! Energy of formation (eV per formula unit): 4.6

---

Entry 3:
! CaHgSbPd, optimized geometry, DFT PBE; values from VASP
&SYSTEM
  ibrav = 0, nat = 16, ntyp = 4
/
ATOMIC_SPECIES
Ca 40.08 Ca.upf
Hg 200.59 Hg.upf
Sb 121.76 Sb.upf
Pd 106.42 Pd.upf
CELL_PARAMETERS angstrom
7.1404 0.0000 0.0000
0.0000 7.1404 0.0000
0.0000 0.0000 7.1404
ATOMIC_POSITIONS crystal
Ca 0.0000 0.0000 0.0000
Ca 0.0000 0.5000 0.5000
Ca 0.5000 0.0000 0.5000
Ca 0.5000 0.5000 0.0000
Hg 0.2500 0.2500 0.2500
Hg 0.2500 0.7500 0.7500
Hg 0.7500 0.2500 0.7500
Hg 0.7500 0.7500 0.2500
Sb 0.0000 0.0000 0.5000
Sb 0.0000 0.5000 0.0000
Sb 0.5000 0.0000 0.0000
Sb 0.5000 0.5000 0.5000
Pd 0.2500 0.2500 0.7500
Pd 0.2500 0.7500 0.2500
Pd 0.7500 0.2500 0.2500
Pd 0.7500 0.7500 0.7500
! DOS(E_F) (states/eV/f.u.): 3.761
! ΔE_f (raw) (eV per atom): -0.44
! Raw total energy (eV/atom): -3.3489
! Total magnetic moment (μB per atom): 0.000

---

Entry 4:
! BiWI2N, optimized geometry, DFT PBE; values from VASP
&SYSTEM
  ibrav = 0, nat = 5, ntyp = 4
/
ATOMIC_SPECIES
Bi 208.98 Bi.upf
W 183.84 W.upf
I 126.90 I.upf
N 14.01 N.upf
CELL_PARAMETERS angstrom
5.7632 0.0000 0.0000
0.0000 5.7632 0.0000
0.0000 0.0000 3.8544
ATOMIC_POSITIONS crystal
Bi 0.0000 0.0000 0.0000
W 0.5000 0.5000 0.5000
I 0.0000 0.5000 0.5000
I 0.5000 0.0000 0.5000
N 0.5000 0.5000 0.0000
! DOS(E_F) (states/eV/f.u.): 4.142
! ΔE_f (raw) (eV per atom): 0.50
! Raw total energy (eV/atom): -5.1501
! Total magnetic moment (μB per atom): 0.184

---

Entry 5:
! NbTl3Br7, optimized geometry, DFT PBE; values from VASP
&SYSTEM
  ibrav = 0, nat = 22, ntyp = 3
/
ATOMIC_SPECIES
Nb 92.91 Nb.upf
Tl 204.38 Tl.upf
Br 79.90 Br.upf
CELL_PARAMETERS angstrom
5.3393 -7.6644 0.0000
5.3393 7.6644 0.0000
0.0000 0.0000 10.1698
ATOMIC_POSITIONS crystal
Nb 0.9999 0.9999 0.0000
Nb 0.0001 0.0001 0.5000
Tl 0.0066 0.4472 0.2493
Tl 0.4472 0.0066 0.7507
Tl 0.4927 0.4927 0.5000
Tl 0.5073 0.5073 0.0000
Tl 0.5528 0.9934 0.2507
Tl 0.9934 0.5528 0.7493
Br 0.0527 0.9473 0.7500
Br 0.0564 0.2846 0.9565
Br 0.0586 0.2860 0.5427
Br 0.2846 0.0564 0.0435
Br 0.2860 0.0586 0.4573
Br 0.3562 0.6438 0.7500
Br 0.3608 0.6392 0.2500
Br 0.6392 0.3608 0.7500
Br 0.6438 0.3562 0.2500
Br 0.7140 0.9414 0.9573
Br 0.7154 0.9436 0.5435
Br 0.9414 0.7140 0.0427
Br 0.9436 0.7154 0.4565
Br 0.9473 0.0527 0.2500
! DOS(E_F) (states/eV/f.u.): 4.183
! ΔE_f (raw) (eV per atom): -0.81
! Raw total energy (eV/atom): -3.4342
! Total magnetic moment (μB per atom): 0.091

---

Entry 6:
! Cs4K6Au, optimized geometry, DFT PBE; values from VASP
&SYSTEM
  ibrav = 0, nat = 22, ntyp = 3
/
ATOMIC_SPECIES
Cs 132.91 Cs.upf
K 39.10 K.upf
Au 196.97 Au.upf
CELL_PARAMETERS angstrom
12.6940 0.0000 0.0000
0.0000 12.6940 0.0000
0.0000 0.0000 11.4288
ATOMIC_POSITIONS crystal
Cs 0.1325 0.3675 0.2500
Cs 0.1325 0.3675 0.7500
Cs 0.3675 0.8675 0.2500
Cs 0.3675 0.8675 0.7500
Cs 0.6325 0.1325 0.2500
Cs 0.6325 0.1325 0.7500
Cs 0.8675 0.6325 0.2500
Cs 0.8675 0.6325 0.7500
K 0.0000 0.0000 0.2046
K 0.0000 0.0000 0.7954
K 0.1144 0.7594 0.5000
K 0.2406 0.1144 0.5000
K 0.2594 0.6144 0.0000
K 0.3856 0.2594 0.0000
K 0.5000 0.5000 0.2954
K 0.5000 0.5000 0.7046
K 0.6144 0.7406 0.0000
K 0.7406 0.3856 0.0000
K 0.7594 0.8856 0.5000
K 0.8856 0.2406 0.5000
Au 0.0000 0.0000 0.5000
Au 0.5000 0.5000 0.0000
! DOS(E_F) (states/eV/f.u.): 8.795
! Raw total energy (eV/atom): -1.1993
! Total magnetic moment (μB per atom): 0.000
! Energy of formation (eV per formula unit): 0.1

---

Entry 7:
! KNaTlF5, optimized geometry, DFT PBE; values from VASP
&SYSTEM
  ibrav = 0, nat = 16, ntyp = 4
/
ATOMIC_SPECIES
K 39.10 K.upf
Na 22.99 Na.upf
Tl 204.38 Tl.upf
F 19.00 F.upf
CELL_PARAMETERS angstrom
3.5717 -5.3524 0.0000
3.5717 5.3524 0.0000
-2.6710 0.0000 7.8099
ATOMIC_POSITIONS crystal
K 0.1590 0.8410 0.7500
K 0.8410 0.1590 0.2500
Na 0.1804 0.8196 0.2500
Na 0.8196 0.1804 0.7500
Tl 0.5000 0.5000 0.0000
Tl 0.5000 0.5000 0.5000
F 0.1390 0.2425 0.9426
F 0.2097 0.5771 0.3982
F 0.2425 0.1390 0.4426
F 0.4139 0.5861 0.7500
F 0.4229 0.7903 0.1018
F 0.5771 0.2097 0.8982
F 0.5861 0.4139 0.2500
F 0.7575 0.8610 0.5574
F 0.7903 0.4229 0.6018
F 0.8610 0.7575 0.0574
! DOS(E_F) (states/eV/f.u.): 0.000
! ΔE_f (raw) (eV per atom): -2.34
! Raw total energy (eV/atom): -4.1087
! Total magnetic moment (μB per atom): 0.000

---

Entry 8:
! Cs2YCl, optimized geometry, DFT PBE; values from VASP
&SYSTEM
  ibrav = 0, nat = 16, ntyp = 3
/
ATOMIC_SPECIES
Cs 132.91 Cs.upf
Y 88.91 Y.upf
Cl 35.45 Cl.upf
CELL_PARAMETERS angstrom
9.7391 0.0000 0.0000
0.0000 9.7391 0.0000
0.0000 0.0000 9.7391
ATOMIC_POSITIONS crystal
Cs 0.2500 0.2500 0.2500
Cs 0.2500 0.2500 0.7500
Cs 0.2500 0.7500 0.2500
Cs 0.2500 0.7500 0.7500
Cs 0.7500 0.2500 0.2500
Cs 0.7500 0.2500 0.7500
Cs 0.7500 0.7500 0.2500
Cs 0.7500 0.7500 0.7500
Y 0.0000 0.0000 0.0000
Y 0.0000 0.5000 0.5000
Y 0.5000 0.0000 0.5000
Y 0.5000 0.5000 0.0000
Cl 0.0000 0.0000 0.5000
Cl 0.0000 0.5000 0.0000
Cl 0.5000 0.0000 0.0000
Cl 0.5000 0.5000 0.5000
! DOS(E_F) (states/eV/f.u.): 41.182
! ΔE_f (raw) (eV per atom): 0.08
! Raw total energy (eV/atom): -2.4290
! Total magnetic moment (μB per atom): 0.500

---

Entry 9:
! Li2CrCl, optimized geometry, DFT PBE; values from VASP
&SYSTEM
  ibrav = 0, nat = 4, ntyp = 3
/
ATOMIC_SPECIES
Li 6.94 Li.upf
Cr 52.00 Cr.upf
Cl 35.45 Cl.upf
CELL_PARAMETERS angstrom
3.3456 0.0000 0.0000
0.0000 3.2994 0.0000
-1.4261 0.0000 6.7163
ATOMIC_POSITIONS crystal
Li 0.1265 0.0000 0.2719
Li 0.8735 0.0000 0.7281
Cr 0.5000 0.5000 0.0000
Cl 0.5000 0.5000 0.5000
! DOS(E_F) (states/eV/f.u.): 0.640
! ΔE_f (raw) (eV per atom): -0.27
! Raw total energy (eV/atom): -4.0991
! Total magnetic moment (μB per atom): 1.207

---

Entry 10:
! NaThTe3Au, optimized geometry, DFT PBE; values from VASP
&SYSTEM
  ibrav = 0, nat = 12, ntyp = 4
/
ATOMIC_SPECIES
Na 22.99 Na.upf
Th 232.04 Th.upf
Te 127.60 Te.upf
Au 196.97 Au.upf
CELL_PARAMETERS angstrom
8.6252 0.0000 0.0000
0.0000 4.4352 0.0000
-2.8818 0.0000 10.1854
ATOMIC_POSITIONS crystal
Na 0.2258 0.2500 0.2855
Na 0.7742 0.7500 0.7145
Th 0.3096 0.7500 0.8230
Th 0.6904 0.2500 0.1770
Te 0.0635 0.2500 0.8484
Te 0.2689 0.7500 0.5251
Te 0.4180 0.7500 0.1414
Te 0.5820 0.2500 0.8586
Te 0.7311 0.2500 0.4749
Te 0.9365 0.7500 0.1516
Au 0.1058 0.2500 0.5966
Au 0.8942 0.7500 0.4034
! DOS(E_F) (states/eV/f.u.): 0.033
! ΔE_f (raw) (eV per atom): -0.90
! Raw total energy (eV/atom): -4.4690
! Total magnetic moment (μB per atom): 0.000

---

Entry 11:
! TmCoRu, optimized geometry, DFT PBE; values from VASP
&SYSTEM
  ibrav = 0, nat = 12, ntyp = 3
/
ATOMIC_SPECIES
Tm 168.93 Tm.upf
Co 58.93 Co.upf
Ru 101.07 Ru.upf
CELL_PARAMETERS angstrom
6.6226 0.0000 0.0000
0.0000 6.6226 0.0000
0.0000 0.0000 5.6172
ATOMIC_POSITIONS crystal
Tm 0.2422 0.2422 0.0000
Tm 0.2578 0.7422 0.2500
Tm 0.7422 0.2578 0.7500
Tm 0.7578 0.7578 0.5000
Co 0.1442 0.8558 0.7500
Co 0.3558 0.3558 0.5000
Co 0.6442 0.6442 0.0000
Co 0.8558 0.1442 0.2500
Ru 0.1176 0.1176 0.5000
Ru 0.3824 0.6176 0.7500
Ru 0.6176 0.3824 0.2500
Ru 0.8824 0.8824 0.0000
! DOS(E_F) (states/eV/f.u.): 2.115
! Raw total energy (eV/atom): -6.8536
! Total magnetic moment (μB per atom): 0.000
! Energy of formation (eV per formula unit): 0.3

---

Entry 12:
! Tb2ScS, optimized geometry, DFT PBE; values from VASP
&SYSTEM
  ibrav = 0, nat = 12, ntyp = 3
/
ATOMIC_SPECIES
Tb 158.93 Tb.upf
Sc 44.96 Sc.upf
S 32.06 S.upf
CELL_PARAMETERS angstrom
3.6221 0.0000 0.0000
-1.8110 3.1368 0.0000
0.0000 0.0000 29.0556
ATOMIC_POSITIONS crystal
Tb 0.0000 0.0000 0.1089
Tb 0.0000 0.0000 0.8911
Tb 0.3333 0.6667 0.5578
Tb 0.3333 0.6667 0.7756
Tb 0.6667 0.3333 0.2244
Tb 0.6667 0.3333 0.4422
Sc 0.0000 0.0000 0.0000
Sc 0.3333 0.6667 0.6667
Sc 0.6667 0.3333 0.3333
S 0.0000 0.0000 0.5000
S 0.3333 0.6667 0.1667
S 0.6667 0.3333 0.8333
! DOS(E_F) (states/eV/f.u.): 4.178
! ΔE_f (raw) (eV per atom): -0.65
! Raw total energy (eV/atom): -5.5808
! Total magnetic moment (μB per atom): 0.093

---

Among the records above, which one has the lowest DOS(E_F)? KNaTlF5